*one*
CaPrHoCd after structural relaxation, computed with PBE.

Summary:
Density (g/cm³): 6.002

Unit cell a=3.656 b=3.656 c=9.486 alpha=90.00 beta=90.00 gamma=90.00
Sites, in units of the cell vectors:
Ca1 0.000 0.000 0.000
Pr1 0.500 0.500 0.313
Ho1 0.000 0.000 0.574
Cd1 0.500 0.500 0.777



*two*
CaPrHoCd after structural relaxation, computed with PBE.

Summary:
Density (g/cm³): 6.188

Unit cell a=5.582 b=5.582 c=5.582 alpha=60.00 beta=60.00 gamma=60.00
Sites, in units of the cell vectors:
Ca1 0.000 0.000 0.000
Pr1 0.750 0.750 0.750
Ho1 0.250 0.250 0.250
Cd1 0.500 0.500 0.500



Energetically preferred structure: *one* | next structure: +124 meV/atom



*one*
CaHoCdRh after structural relaxation, computed with PBE.

Summary:
Density (g/cm³): 7.391

Unit cell a=3.551 b=3.551 c=7.490 alpha=90.00 beta=90.00 gamma=90.00
Sites, in units of the cell vectors:
Ca1 0.000 0.000 0.000
Ho1 0.000 0.000 0.559
Cd1 0.500 0.500 0.287
Rh1 0.500 0.500 0.744



*two*
CaHoCdRh after structural relaxation, computed with PBE.

Summary:
Density (g/cm³): 7.618

Unit cell a=5.060 b=5.060 c=5.060 alpha=60.00 beta=60.00 gamma=60.00
Sites, in units of the cell vectors:
Ca1 0.000 0.000 0.000
Ho1 0.500 0.500 0.500
Cd1 0.750 0.750 0.750
Rh1 0.250 0.250 0.250



Energetically preferred structure: *one* | next structure: +109 meV/atom



*one*
CaCdI2 after structural relaxation, computed with PBE.

Summary:
Density (g/cm³): 5.002

Unit cell a=5.536 b=5.536 c=4.401 alpha=90.00 beta=90.00 gamma=90.00
Sites, in units of the cell vectors:
Ca1 0.000 0.000 0.000
Cd1 0.500 0.500 0.000
I1 0.000 0.500 0.500
I2 0.500 0.000 0.500



*two*
CaCdI2 after structural relaxation, computed with PBE.

Summary:
Density (g/cm³): 4.066

Unit cell a=10.205 b=10.205 c=10.205 alpha=24.92 beta=24.92 gamma=24.92
Sites, in units of the cell vectors:
Ca1 0.000 0.000 0.000
Cd1 0.500 0.500 0.500
I1 0.102 0.102 0.102
I2 0.898 0.898 0.898



*three*
CaCdI2 after structural relaxation, computed with PBE.

Summary:
Density (g/cm³): 5.009

Unit cell a=5.754 b=5.754 c=5.754 alpha=60.00 beta=60.00 gamma=60.00
Sites, in units of the cell vectors:
Ca1 0.000 0.000 0.000
Cd1 0.500 0.500 0.500
I1 0.250 0.250 0.250
I2 0.750 0.750 0.750



*four*
CaCdI2 after structural relaxation, computed with PBE.

Summary:
Density (g/cm³): 3.641

Unit cell a=7.885 b=7.885 c=7.885 alpha=105.26 beta=105.26 gamma=118.26
Sites, in units of the cell vectors:
Ca1 0.000 0.000 0.000
Ca2 0.750 0.250 0.500
Cd1 0.250 0.750 0.500
Cd2 0.500 0.500 0.000
I1 0.041 0.625 0.916
I2 0.375 0.291 0.416
I3 0.709 0.125 0.084
I4 0.875 0.959 0.584



Energetically preferred structure: *four* | next structure: +111 meV/atom



*one*
Ca2Cd2I after structural relaxation, computed with PBE.

Summary:
Density (g/cm³): 4.331

Unit cell a=8.636 b=8.636 c=4.441 alpha=90.00 beta=90.00 gamma=90.00
Sites, in units of the cell vectors:
Ca1 0.173 0.327 0.000
Ca2 0.327 0.827 0.000
Ca3 0.673 0.173 0.000
Ca4 0.827 0.673 0.000
Cd1 0.121 0.621 0.500
Cd2 0.379 0.121 0.500
Cd3 0.621 0.879 0.500
Cd4 0.879 0.379 0.500
I1 0.000 0.000 0.000
I2 0.500 0.500 0.000



*two*
Ca2Cd2I after structural relaxation, computed with PBE.

Summary:
Density (g/cm³): 4.545

Unit cell a=8.841 b=8.841 c=4.037 alpha=90.00 beta=90.00 gamma=90.00
Sites, in units of the cell vectors:
Ca1 0.175 0.325 0.000
Ca2 0.325 0.825 0.000
Ca3 0.675 0.175 0.000
Ca4 0.825 0.675 0.000
Cd1 0.118 0.618 0.500
Cd2 0.382 0.118 0.500
Cd3 0.618 0.882 0.500
Cd4 0.882 0.382 0.500
I1 0.000 0.000 0.500
I2 0.500 0.500 0.500



Energetically preferred structure: *one* | next structure: +63 meV/atom



*one*
CaCd2I after structural relaxation, computed with PBE.

Summary:
Density (g/cm³): 4.900

Unit cell a=7.238 b=7.238 c=7.238 alpha=100.63 beta=100.63 gamma=129.14
Sites, in units of the cell vectors:
Ca1 0.000 0.000 0.000
Ca2 0.750 0.250 0.500
Cd1 0.117 0.625 0.992
Cd2 0.375 0.367 0.492
Cd3 0.633 0.125 0.008
Cd4 0.875 0.883 0.508
I1 0.250 0.750 0.500
I2 0.500 0.500 0.000



*two*
CaCd2I after structural relaxation, computed with PBE.

Summary:
Density (g/cm³): 4.854

Unit cell a=5.744 b=5.744 c=5.744 alpha=60.00 beta=60.00 gamma=60.00
Sites, in units of the cell vectors:
Ca1 0.000 0.000 0.000
Cd1 0.250 0.250 0.250
Cd2 0.750 0.750 0.750
I1 0.500 0.500 0.500



Energetically preferred structure: *one* | next structure: +249 meV/atom



*one*
CaCdSbI2 after structural relaxation, computed with PBE.

Summary:
Density (g/cm³): 3.782

Unit cell a=5.986 b=5.986 c=6.471 alpha=90.00 beta=90.00 gamma=90.00
Sites, in units of the cell vectors:
Ca1 0.000 0.000 0.000
Cd1 0.500 0.500 0.500
Sb1 0.000 0.000 0.500
I1 0.000 0.500 0.000
I2 0.500 0.000 0.000



*two*
CaCdSbI2 after structural relaxation, computed with PBE.

Summary:
Density (g/cm³): 3.394

Unit cell a=5.515 b=5.515 c=8.493 alpha=90.00 beta=90.00 gamma=90.00
Sites, in units of the cell vectors:
Ca1 0.000 0.000 0.000
Cd1 0.000 0.000 0.500
Sb1 0.500 0.500 0.000
I1 0.000 0.500 0.500
I2 0.500 0.000 0.500



Energetically preferred structure: *one* | next structure: +372 meV/atom



*one*
CaCdSb2I after structural relaxation, computed with PBE.

Summary:
Density (g/cm³): 4.692

Unit cell a=5.462 b=5.462 c=6.203 alpha=90.00 beta=90.00 gamma=90.00
Sites, in units of the cell vectors:
Ca1 0.000 0.000 0.000
Cd1 0.500 0.500 0.500
Sb1 0.000 0.500 0.500
Sb2 0.500 0.000 0.500
I1 0.500 0.500 0.000



*two*
CaCdSb2I after structural relaxation, computed with PBE.

Summary:
Density (g/cm³): 4.096

Unit cell a=5.995 b=5.995 c=5.899 alpha=90.00 beta=90.00 gamma=90.00
Sites, in units of the cell vectors:
Ca1 0.000 0.000 0.000
Cd1 0.500 0.500 0.500
Sb1 0.000 0.500 0.000
Sb2 0.500 0.000 0.000
I1 0.000 0.000 0.500



Energetically preferred structure: *one* | next structure: +202 meV/atom



*one*
Ca2CdIn2 after structural relaxation, computed with PBE.

Summary:
Density (g/cm³): 5.080

Unit cell a=3.622 b=8.146 c=8.146 alpha=35.04 beta=90.00 gamma=90.00
Sites, in units of the cell vectors:
Ca1 0.000 0.000 0.000
Ca2 0.000 0.228 0.228
Cd1 0.500 0.415 0.415
In1 0.500 0.612 0.612
In2 0.500 0.814 0.814



*two*
Ca2CdIn2 after structural relaxation, computed with PBE.

Summary:
Density (g/cm³): 4.311

Unit cell a=7.679 b=7.679 c=7.679 alpha=143.04 beta=143.04 gamma=53.26
Sites, in units of the cell vectors:
Ca1 0.250 0.750 0.500
Ca2 0.750 0.250 0.500
Cd1 0.000 0.000 0.000
In1 0.402 0.402 0.000
In2 0.598 0.598 0.000



Energetically preferred structure: *one* | next structure: +405 meV/atom



*one*
Ca2CdIn after structural relaxation, computed with PBE.

Summary:
Density (g/cm³): 4.566

Unit cell a=5.407 b=5.407 c=5.407 alpha=60.00 beta=60.00 gamma=60.00
Sites, in units of the cell vectors:
Ca1 0.000 0.000 0.000
Ca2 0.250 0.250 0.250
Cd1 0.750 0.750 0.750
In1 0.500 0.500 0.500



*two*
Ca2CdIn after structural relaxation, computed with PBE.

Summary:
Density (g/cm³): 4.478

Unit cell a=3.868 b=3.868 c=7.617 alpha=90.00 beta=90.00 gamma=90.00
Sites, in units of the cell vectors:
Ca1 0.000 0.000 0.249
Ca2 0.000 0.000 0.751
Cd1 0.500 0.500 0.000
In1 0.500 0.500 0.500



*three*
Ca2CdIn after structural relaxation, computed with PBE.

Summary:
Density (g/cm³): 4.064

Unit cell a=10.143 b=10.143 c=10.143 alpha=21.75 beta=21.75 gamma=21.75
Sites, in units of the cell vectors:
Ca1 0.249 0.249 0.249
Ca2 0.751 0.751 0.751
Cd1 0.500 0.500 0.500
In1 0.000 0.000 0.000



*four*
Ca2CdIn after structural relaxation, computed with PBE.

Summary:
Density (g/cm³): 4.181

Unit cell a=3.981 b=4.404 c=6.964 alpha=90.00 beta=90.00 gamma=90.00
Sites, in units of the cell vectors:
Ca1 0.000 0.000 0.000
Ca2 0.500 0.500 0.330
Cd1 0.000 0.000 0.533
In1 0.500 0.500 0.794



Energetically preferred structure: *two* | next structure: +193 meV/atom



*one*
Ca2CdIn after structural relaxation, computed with PBE.

Summary:
Density (g/cm³): 4.479

Unit cell a=5.395 b=5.395 c=3.915 alpha=90.00 beta=90.00 gamma=90.00
Sites, in units of the cell vectors:
Ca1 0.000 0.500 0.000
Ca2 0.500 0.000 0.000
Cd1 0.000 0.000 0.500
In1 0.500 0.500 0.500



*two*
Ca2CdIn after structural relaxation, computed with PBE.

Summary:
Density (g/cm³): 4.486

Unit cell a=5.439 b=5.439 c=5.439 alpha=60.00 beta=60.00 gamma=60.00
Sites, in units of the cell vectors:
Ca1 0.250 0.250 0.250
Ca2 0.750 0.750 0.750
Cd1 0.000 0.000 0.000
In1 0.500 0.500 0.500



Energetically preferred structure: *two* | next structure: +6 meV/atom



*one*
Ca2CdIn after structural relaxation, computed with PBE.

Summary:
Density (g/cm³): 4.354

Unit cell a=6.270 b=6.270 c=5.500 alpha=109.52 beta=109.52 gamma=35.38
Sites, in units of the cell vectors:
Ca1 0.000 0.000 0.000
Ca2 0.209 0.209 0.663
Cd1 0.459 0.459 0.476
In1 0.753 0.753 0.193



*two*
Ca2CdIn after structural relaxation, computed with PBE.

Summary:
Density (g/cm³): 3.925

Unit cell a=7.022 b=7.022 c=7.022 alpha=104.61 beta=104.61 gamma=119.72
Sites, in units of the cell vectors:
Ca1 0.120 0.125 0.495
Ca2 0.375 0.880 0.005
Ca3 0.630 0.625 0.505
Ca4 0.875 0.370 0.995
Cd1 0.000 0.000 0.000
Cd2 0.750 0.250 0.500
In1 0.250 0.750 0.500
In2 0.500 0.500 0.000



Energetically preferred structure: *one* | next structure: +249 meV/atom



*one*
Ca2CdIn after structural relaxation, computed with PBE.

Summary:
Density (g/cm³): 4.391

Unit cell a=6.104 b=6.104 c=6.104 alpha=133.87 beta=133.87 gamma=67.29
Sites, in units of the cell vectors:
Ca1 0.000 0.000 0.000
Ca2 0.750 0.250 0.500
Cd1 0.250 0.750 0.500
In1 0.500 0.500 0.000



*two*
Ca2CdIn after structural relaxation, computed with PBE.

Summary:
Density (g/cm³): 4.081

Unit cell a=5.411 b=5.411 c=6.810 alpha=100.38 beta=100.38 gamma=39.71
Sites, in units of the cell vectors:
Ca1 0.250 0.250 0.246
Ca2 0.750 0.750 0.754
Cd1 0.000 0.000 0.500
In1 0.500 0.500 0.000



Energetically preferred structure: *one* | next structure: +38 meV/atom